1.
EuPuHgIr PBE-GGA relaxed; symmetry = No. 216; DOS(E_F) = 3.55 states/eV/atom; formation energy = -0.23 eV/atom; electronic total energy = -8.675 eV/atom; M_tot = 3.15 μB/atom
1.0
0.000 3.628 3.628
3.628 0.000 3.628
3.628 3.628 0.000
Eu Pu Hg Ir
1 1 1 1
Direct
0.000 0.000 0.000
0.500 0.500 0.500
0.750 0.750 0.750
0.250 0.250 0.250

2.
SrEuHgIr PBE-GGA relaxed; symmetry = No. 216; DOS(E_F) = 2.15 states/eV/atom; formation energy = -0.27 eV/atom; electronic total energy = -5.554 eV/atom; M_tot = 1.77 μB/atom
1.0
0.000 3.718 3.718
3.718 0.000 3.718
3.718 3.718 0.000
Sr Eu Hg Ir
1 1 1 1
Direct
0.000 0.000 0.000
0.500 0.500 0.500
0.250 0.250 0.250
0.750 0.750 0.750

3.
EuThHgIr PBE-GGA relaxed; symmetry = No. 216; DOS(E_F) = 1.65 states/eV/atom; formation energy = -0.41 eV/atom; electronic total energy = -7.121 eV/atom; M_tot = 1.72 μB/atom
1.0
0.000 3.679 3.679
3.679 0.000 3.679
3.679 3.679 0.000
Eu Th Hg Ir
1 1 1 1
Direct
0.000 0.000 0.000
0.500 0.500 0.500
0.750 0.750 0.750
0.250 0.250 0.250

4.
EuYHgIr PBE-GGA relaxed; symmetry = No. 216; DOS(E_F) = 1.97 states/eV/atom; formation energy = -0.45 eV/atom; electronic total energy = -6.928 eV/atom; M_tot = 1.73 μB/atom
1.0
0.000 3.614 3.614
3.614 0.000 3.614
3.614 3.614 0.000
Eu Y Hg Ir
1 1 1 1
Direct
0.000 0.000 0.000
0.500 0.500 0.500
0.750 0.750 0.750
0.250 0.250 0.250